Ca4HgAs2 after structural relaxation. Source: Alexandria, functional GGA-PBE.

Calculated values
N(E_F)	0.151	states/eV per atom
formation energy	-0.857	eV per atom
E_tot	-3.372	eV/atom
calculated volume	27.68	A^3/atom

Cell: 5.1400 8.9119 16.9188 Å, 90.00 90.00 90.00°
Closest atoms and distances in Å follow each position.
Space group Cmcm (No. 63)
Asymmetric unit:
Ca 0.0000 0.0000 0.0000 [4 per cell]  6 As 3.23-3.24, 6 Ca 3.56
Ca 0.0000 0.3331 0.1164 [8 per cell]  4 As 3.05-3.25
Ca 0.0000 0.3339 0.7500 [4 per cell]  2 As 2.95, 3 Hg 2.97
Hg 0.0000 0.0008 0.7500 [4 per cell]  3 Ca 2.97
As 0.0000 0.3336 0.5755 [8 per cell]  8 Ca 2.95-3.25

CaHg2As after structural relaxation. Source: Alexandria, functional GGA-PBE.

Calculated values
N(E_F)	0.216	states/eV per atom
formation energy	-0.421	eV per atom
E_tot	-2.235	eV/atom
calculated volume	24.01	A^3/atom

Cell: 4.3379 4.3652 10.1419 Å, 90.00 90.00 90.00°
Closest atoms and distances in Å follow each position.
Space group Immm (No. 71)
Asymmetric unit:
Ca 0.0000 0.0000 0.0000 [2 per cell]  4 As 3.08, 8 Hg 3.33-3.35
Hg 0.0000 0.5000 0.2486 [4 per cell]  4 Hg 3.08, 4 As 3.33-3.36, 4 Ca 3.33-3.35
As 0.0000 0.0000 0.5000 [2 per cell]  4 Ca 3.08, 8 Hg 3.33-3.36

Ca4HgAs after structural relaxation. Source: Alexandria, functional GGA-PBE.

Calculated values
N(E_F)	1.187	states/eV per atom
formation energy	0.200	eV per atom
E_tot	-1.959	eV/atom
calculated volume	33.16	A^3/atom

Cell: 9.2671 9.2671 9.2671 Å, 90.00 90.00 90.00°
Closest atoms and distances in Å follow each position.
Space group F-43m (No. 216)
Asymmetric unit:
Ca 0.1240 0.1240 0.3760 [16 per cell]  6 Ca 3.25-3.30
Hg 0.0000 0.0000 0.0000 [4 per cell]  12 Ca 3.84, 4 As 4.01
As 0.2500 0.2500 0.7500 [4 per cell]  12 Ca 3.84, 4 Hg 4.01

CaHg2As after structural relaxation. Source: Alexandria, functional GGA-PBE.

Calculated values
N(E_F)	0.330	states/eV per atom
formation energy	-0.383	eV per atom
E_tot	-2.197	eV/atom
calculated volume	26.57	A^3/atom

Cell: 4.4313 4.4313 18.7513 Å, 90.00 90.00 120.00°
Closest atoms and distances in Å follow each position.
Space group R3m (No. 160, hexagonal axes)
Asymmetric unit:
Ca 0.0000 0.0000 0.0000 [3 per cell]  3 As 2.96, 3 Hg 3.21
Hg 0.0000 0.0000 0.5248 [3 per cell]  3 As 2.81, 3 Hg 3.05
Hg 0.0000 0.0000 0.7698 [3 per cell]  3 Hg 3.05, 3 Ca 3.21
As 0.0000 0.0000 0.2540 [3 per cell]  3 Hg 2.81, 3 Ca 2.96

CaHg2As after structural relaxation. Source: Alexandria, functional GGA-PBE.

Calculated values
N(E_F)	0.540	states/eV per atom
formation energy	-0.294	eV per atom
E_tot	-2.107	eV/atom
calculated volume	24.92	A^3/atom

Cell: 5.2104 5.5242 6.9266 Å, 90.00 90.00 90.00°
Closest atoms and distances in Å follow each position.
Space group Cmm2 (No. 35)
Asymmetric unit:
Ca 0.0000 0.0000 0.0000 [2 per cell]  4 As 3.04-3.18, 3 Hg 3.24-3.30
Hg 0.0000 0.0000 0.4671 [2 per cell]  4 As 3.09-3.22, 4 Hg 3.09-3.22, 1 Ca 3.24
Hg 0.0000 0.5000 0.7068 [2 per cell]  4 Hg 3.09-3.22, 4 Ca 3.30-3.43, 1 As 3.32
As 0.0000 0.5000 0.2275 [2 per cell]  4 Ca 3.04-3.18, 5 Hg 3.09-3.32

CaHg2As after structural relaxation. Source: Alexandria, functional GGA-PBE.

Calculated values
N(E_F)	0.208	states/eV per atom
formation energy	-0.394	eV per atom
E_tot	-2.208	eV/atom
calculated volume	26.39	A^3/atom

Cell: 9.8986 4.3460 6.1779 Å, 90.00 127.40 90.00°
Closest atoms and distances in Å follow each position.
Space group Cm (No. 8)
Asymmetric unit:
Ca 0.0000 0.0000 0.0000 [2 per cell]  3 As 2.95-3.04, 1 Hg 3.22
Hg 0.1744 0.0000 0.6786 [2 per cell]  3 Hg 2.98-3.13, 2 As 3.16, 1 Ca 3.33
Hg 0.3980 0.0000 0.5066 [2 per cell]  3 As 2.92-3.19, 3 Hg 2.98-3.13, 1 Ca 3.22
As 0.2486 0.5000 0.1089 [2 per cell]  5 Hg 2.92-3.19, 3 Ca 2.95-3.04